Below is an optimized crystal structure of MnBiSe2, with properties calculated at the PBE level.

## Properties
Space-group type ... No. 141
Formation energy (no corrections) ... -0.141 eV/atom
Calculated volume ... 203 Å³ per cell

Cell lengths 5.701, 5.701, 7.439 Å; angles 67.47, 67.47, 90.00 degrees
Sites, in units of the cell vectors:
Mn 0.000 0.000 0.000
Mn 0.750 0.250 0.500
Bi 0.500 0.500 0.000
Bi 0.250 0.750 0.500
Se 0.792 0.792 0.417
Se 0.958 0.458 0.083
Se 0.208 0.208 0.583
Se 0.542 0.042 0.917